The following is a PBE calculation of crystalline ErTiFe4 at its relaxed geometry, from the Alexandria database.

```
ErTiFe4
1.0
4.9596 0.0000 0.0000
2.4798 4.2951 0.0000
2.4798 1.4317 4.0495
Fe Ti Er
4 1 1
Cartesian
3.7240 3.5768 2.5292 Fe
6.1952 3.5768 2.5292 Fe
4.9596 1.4367 2.5292 Fe
4.9596 2.8634 0.5114 Fe
2.4798 1.4317 1.0124 Ti
0.0000 0.0000 0.0000 Er
```

Output
E_form	-0.1874	eV/atom
energy	-7.906	eV/atom

=====

The following is a PBE calculation of crystalline ErTiFe at its relaxed geometry, from the Alexandria database.

```
ErTiFe
1.0
3.9078 0.0000 0.0000
0.0000 3.9078 0.0000
0.0000 0.0000 7.6258
Fe Ti Er
2 2 2
Cartesian
1.9539 0.0000 5.3354 Fe
0.0000 1.9539 2.2904 Fe
0.0000 0.0000 3.8129 Ti
1.9539 1.9539 3.8129 Ti
1.9539 0.0000 1.2078 Er
0.0000 1.9539 6.4180 Er
```

Output
E_form	-0.0770	eV/atom
energy	-7.050	eV/atom

=====

The following is a PBE calculation of crystalline Er2TlFe at its relaxed geometry, from the Alexandria database.

```
Er2TlFe
1.0
-3.2444 -0.6636 -0.3214
0.7299 -3.0961 -0.9753
-0.2556 -2.4982 7.7393
Tl Er Fe
1 2 1
Cartesian
-1.3851 -3.1290 3.2213 Tl
-0.2054 -2.0078 6.2200 Er
-0.0502 -0.4904 1.5193 Er
-1.2573 -1.8798 -0.6483 Fe
```

Output
E_form	-0.1350	eV/atom
energy	-5.124	eV/atom
E above lowest polymorph	0.00	eV per formula unit

=====

> energy of number 2 (ErTiFe)?

-7.050 eV/atom

=====

Copy entry 3 word for word.
The following is a PBE calculation of crystalline Er2TlFe at its relaxed geometry, from the Alexandria database.

```
Er2TlFe
1.0
-3.2444 -0.6636 -0.3214
0.7299 -3.0961 -0.9753
-0.2556 -2.4982 7.7393
Tl Er Fe
1 2 1
Cartesian
-1.3851 -3.1290 3.2213 Tl
-0.2054 -2.0078 6.2200 Er
-0.0502 -0.4904 1.5193 Er
-1.2573 -1.8798 -0.6483 Fe
```

Output
E_form	-0.1350	eV/atom
energy	-5.124	eV/atom
E above lowest polymorph	0.00	eV per formula unit

=====

> The lowest E_form belongs to which entry?

ErTiFe4